Here is a geometry-optimized Mg2TiFe structure from the Alexandria database. Energies are from PBE.

Unit cell a=4.504 b=4.504 c=4.504 alpha=60.00 beta=60.00 gamma=60.00
Fractional positions:
Mg  0.250  0.250  0.250
Mg  0.750  0.750  0.750
Ti  0.000  0.000  0.000
Fe  0.500  0.500  0.500

## Properties
volume = 65 Å³ per cell
symmetry = Fm-3m
ΔE to the lowest computed polymorph = 0.0 meV per atom
uncorrected energy = -4.431 eV/atom